Entry 1:
The following is a GGA-PBE calculation of an optimized crystal structure of ErPuIn2, from Alexandria via LeMat-Bulk.

Properties
DFT formation energy ... -0.30 eV/atom
Raw total energy ... -25.568 eV per cell
D(E_F) ... 8.31 states/eV/f.u.

Geometry as CIF:
```
data_ErPuIn2
_chemical_formula_sum 'Er1 Pu1 In2'
_cell_length_a 3.3264
_cell_length_b 3.3264
_cell_length_c 9.3437
_cell_angle_alpha 90.00
_cell_angle_beta 90.00
_cell_angle_gamma 90.00
_space_group_name_H-M_alt 'P 4/m m m'
_space_group_IT_number 123
_space_group_name_Hall '-P 4 2'
loop_
_atom_site_label
_atom_site_type_symbol
_atom_site_fract_x
_atom_site_fract_y
_atom_site_fract_z
Er1 Er 0.0000 0.0000 0.0000
Pu1 Pu 0.0000 0.0000 0.5000
In1 In 0.5000 0.5000 0.2446
```


Entry 2:
The following is a GGA-PBE calculation of an optimized crystal structure of ErCoCu, from Alexandria via LeMat-Bulk.

Properties
DFT formation energy ... -0.21 eV/atom
Raw total energy ... -65.528 eV per cell
D(E_F) ... 2.72 states/eV/f.u.

Geometry as CIF:
```
data_ErCoCu
_chemical_formula_sum 'Er4 Co4 Cu4'
_cell_length_a 4.9680
_cell_length_b 5.1450
_cell_length_c 7.3332
_cell_angle_alpha 90.00
_cell_angle_beta 90.00
_cell_angle_gamma 90.00
_space_group_name_H-M_alt 'I m m a'
_space_group_IT_number 74
_space_group_name_Hall '-I 2b 2'
loop_
_atom_site_label
_atom_site_type_symbol
_atom_site_fract_x
_atom_site_fract_y
_atom_site_fract_z
Er1 Er 0.0000 0.2500 0.1262
Co1 Co 0.0000 0.0000 0.5000
Cu1 Cu 0.2500 0.2500 0.7500
```


Entry 3:
The following is a GGA-PBE calculation of an optimized crystal structure of Cd3GaBi, from Alexandria via LeMat-Bulk.

Properties
DFT formation energy ... 0.54 eV/atom
ΔE to the lowest computed polymorph ... 0.2216 eV per atom
Raw total energy ... -6.966 eV per cell
D(E_F) ... 2.63 states/eV/f.u.

Geometry as CIF:
```
data_Cd3GaBi
_chemical_formula_sum 'Cd3 Ga1 Bi1'
_cell_length_a 5.7762
_cell_length_b 5.7762
_cell_length_c 5.7762
_cell_angle_alpha 90.00
_cell_angle_beta 90.00
_cell_angle_gamma 90.00
_space_group_name_H-M_alt 'P m -3 m'
_space_group_IT_number 221
_space_group_name_Hall '-P 4 2 3'
loop_
_atom_site_label
_atom_site_type_symbol
_atom_site_fract_x
_atom_site_fract_y
_atom_site_fract_z
Cd1 Cd 0.0000 0.0000 0.5000
Ga1 Ga 0.5000 0.5000 0.5000
Bi1 Bi 0.0000 0.0000 0.0000
```


Entry 4:
The following is a GGA-PBE calculation of an optimized crystal structure of ZnOs, from Alexandria via LeMat-Bulk.

Properties
DFT formation energy ... 0.27 eV/atom
Raw total energy ... -47.844 eV per cell
D(E_F) ... 1.49 states/eV/f.u.

Geometry as CIF:
```
data_ZnOs
_chemical_formula_sum 'Zn4 Os4'
_cell_length_a 9.9191
_cell_length_b 2.7874
_cell_length_c 4.6448
_cell_angle_alpha 90.00
_cell_angle_beta 117.24
_cell_angle_gamma 90.00
_space_group_name_H-M_alt 'C 1 2/m 1'
_space_group_IT_number 12
loop_
_space_group_symop_operation_xyz
'x,y,z'
'-x,-y,-z'
'-x,y,-z'
'x,-y,z'
'x+1/2,y+1/2,z'
'-x+1/2,-y+1/2,-z'
'-x+1/2,y+1/2,-z'
'x+1/2,-y+1/2,z'
loop_
_atom_site_label
_atom_site_type_symbol
_atom_site_fract_x
_atom_site_fract_y
_atom_site_fract_z
Zn1 Zn 0.1194 0.0000 0.2952
Os1 Os 0.1330 0.5000 0.8007
```


Entry 5:
The following is a GGA-PBE calculation of an optimized crystal structure of NaZnPbO4, from Alexandria via LeMat-Bulk.

Properties
Raw total energy ... -131.770 eV per cell
ΔE_f (raw) ... -0.9726 eV/atom
D(E_F) ... 4.77 states/eV/f.u.

Geometry as CIF:
```
data_NaZnPbO4
_chemical_formula_sum 'Na4 Zn4 Pb4 O16'
_cell_length_a 6.0114
_cell_length_b 6.8578
_cell_length_c 9.2323
_cell_angle_alpha 90.00
_cell_angle_beta 90.00
_cell_angle_gamma 90.00
_space_group_name_H-M_alt 'I m m a'
_space_group_IT_number 74
_space_group_name_Hall '-I 2b 2'
loop_
_atom_site_label
_atom_site_type_symbol
_atom_site_fract_x
_atom_site_fract_y
_atom_site_fract_z
Na1 Na 0.2500 0.2500 0.2500
Zn1 Zn 0.0000 0.2500 0.6417
Pb1 Pb 0.0000 0.0000 0.0000
O1 O 0.0000 0.0105 0.7613
O2 O 0.2420 0.2500 0.9980
```


Entry 6:
The following is a GGA-PBE calculation of an optimized crystal structure of MnReSn2Ir, from Alexandria via LeMat-Bulk.

Properties
DFT formation energy ... 1.30 eV/atom
Raw total energy ... -31.990 eV per cell
D(E_F) ... 6.69 states/eV/f.u.

Geometry as CIF:
```
data_MnReSn2Ir
_chemical_formula_sum 'Mn1 Re1 Sn2 Ir1'
_cell_length_a 5.0297
_cell_length_b 5.0297
_cell_length_c 4.8860
_cell_angle_alpha 90.00
_cell_angle_beta 90.00
_cell_angle_gamma 90.00
_space_group_name_H-M_alt 'P 4/m m m'
_space_group_IT_number 123
_space_group_name_Hall '-P 4 2'
loop_
_atom_site_label
_atom_site_type_symbol
_atom_site_fract_x
_atom_site_fract_y
_atom_site_fract_z
Mn1 Mn 0.0000 0.0000 0.0000
Re1 Re 0.5000 0.5000 0.0000
Sn1 Sn 0.0000 0.5000 0.5000
Ir1 Ir 0.0000 0.0000 0.5000
```


Entry 7:
The following is a GGA-PBE calculation of an optimized crystal structure of RbZnSn4, from Alexandria via LeMat-Bulk.

Properties
DFT formation energy ... -0.04 eV/atom
Raw total energy ... -74.004 eV per cell
D(E_F) ... 1.43 states/eV/f.u.

Geometry as CIF:
```
data_RbZnSn4
_chemical_formula_sum 'Rb4 Zn4 Sn16'
_cell_length_a 17.1269
_cell_length_b 7.7274
_cell_length_c 6.0384
_cell_angle_alpha 90.00
_cell_angle_beta 105.51
_cell_angle_gamma 90.00
_space_group_name_H-M_alt 'C 1 2/m 1'
_space_group_IT_number 12
loop_
_space_group_symop_operation_xyz
'x,y,z'
'-x,-y,-z'
'-x,y,-z'
'x,-y,z'
'x+1/2,y+1/2,z'
'-x+1/2,-y+1/2,-z'
'-x+1/2,y+1/2,-z'
'x+1/2,-y+1/2,z'
loop_
_atom_site_label
_atom_site_type_symbol
_atom_site_fract_x
_atom_site_fract_y
_atom_site_fract_z
Rb1 Rb 0.2209 0.0000 0.1737
Zn1 Zn 0.0412 0.5000 0.7392
Sn1 Sn 0.0000 0.2051 0.0000
Sn2 Sn 0.0915 0.2030 0.5539
Sn3 Sn 0.1312 0.5000 0.2230
```


Entry 8:
The following is a GGA-PBE calculation of an optimized crystal structure of BaRuO3, from Alexandria via LeMat-Bulk.

Properties
Raw total energy ... -67.653 eV per cell
ΔE_f (raw) ... -1.5507 eV/atom
D(E_F) ... 3.01 states/eV/f.u.

Geometry as CIF:
```
data_BaRuO3
_chemical_formula_sum 'Ba2 Ru2 O6'
_cell_length_a 4.1478
_cell_length_b 3.7743
_cell_length_c 9.3355
_cell_angle_alpha 90.00
_cell_angle_beta 90.00
_cell_angle_gamma 90.00
_space_group_name_H-M_alt 'P m m a'
_space_group_IT_number 51
loop_
_space_group_symop_operation_xyz
'x,y,z'
'-x,-y,-z'
'-x+1/2,-y,z'
'x+1/2,y,-z'
'x+1/2,-y,-z'
'-x+1/2,y,z'
'-x,y,-z'
'x,-y,z'
loop_
_atom_site_label
_atom_site_type_symbol
_atom_site_fract_x
_atom_site_fract_y
_atom_site_fract_z
Ba1 Ba 0.2500 0.0000 0.1699
Ru1 Ru 0.2500 0.5000 0.6268
O1 O 0.2500 0.0000 0.6280
O2 O 0.2500 0.5000 0.4016
O3 O 0.2500 0.5000 0.8516
```